VASP calculation (PBE-GGA) on a relaxed CdPd3Pt6 crystal.

## Properties
The value obtained for the formation energy is -8.3 kJ per mole of atoms. The calculation puts the density of states at the Fermi level at 34.16 states/eV/cell. Its symmetry is P2_1/m, No. 11.

Cell: 3.9939 8.9231 8.9110 Å, 89.76 90.00 90.00°
Sites, in units of the cell vectors:
Cd1 0.2500 0.9469 0.6035
Cd2 0.7500 0.0531 0.3965
Pd1 0.2500 0.5500 0.3969
Pd2 0.7500 0.4500 0.6031
Pd3 0.2500 0.3491 0.8024
Pd4 0.7500 0.6509 0.1976
Pd5 0.2500 0.7482 0.9996
Pd6 0.7500 0.2518 0.0004
Pt1 0.2500 0.4502 0.0991
Pt2 0.7500 0.5498 0.9009
Pt3 0.2500 0.1544 0.1995
Pt4 0.7500 0.8456 0.8005
Pt5 0.2500 0.6455 0.7003
Pt6 0.7500 0.3545 0.2997
Pt7 0.2500 0.2558 0.5035
Pt8 0.7500 0.7442 0.4965
Pt9 0.2500 0.8479 0.2959
Pt10 0.7500 0.1521 0.7041
Pt11 0.2500 0.0496 0.9035
Pt12 0.7500 0.9504 0.0965